Record 1
First-principles (PBE) data for a relaxed structure of Sm3Ga3Pd, as listed in Alexandria.

Geometry as POSCAR:
```
Sm3Ga3Pd
1.0
5.411 -2.222 0.000
5.411 2.222 0.000
-5.168 0.000 13.706
Sm Ga Pd
6 6 2
Cartesian
-1.605 0.000 5.223 Sm
-3.625 0.000 12.700 Sm
1.400 0.000 3.199 Sm
4.254 0.000 10.507 Sm
9.279 0.000 1.006 Sm
7.259 0.000 8.483 Sm
1.581 0.000 6.310 Ga
-0.517 0.000 12.642 Ga
1.109 0.000 10.560 Ga
4.545 0.000 3.146 Ga
6.171 0.000 1.064 Ga
4.074 0.000 7.396 Ga
-0.399 0.000 8.323 Pd
6.053 0.000 5.383 Pd
```

Properties
energy relative to the elements: -469 kJ/mol of formula units
space group: C2/m (12)

Record 2
First-principles (PBE) data for a relaxed structure of ZnOs2Se, as listed in Alexandria.

Geometry as POSCAR:
```
ZnOs2Se
1.0
8.436 0.000 0.000
0.000 2.899 0.000
-0.958 0.000 4.882
Zn Os Se
2 4 2
Cartesian
0.000 0.000 0.000 Zn
4.218 1.449 0.000 Zn
1.387 0.000 3.610 Os
1.873 1.449 1.272 Os
5.606 1.449 3.610 Os
6.091 0.000 1.272 Os
-0.479 1.449 2.441 Se
3.739 0.000 2.441 Se
```

Properties
energy relative to the lowest polymorph listed for this composition: 210 meV per atom
space group: C2/m (12)
raw formation energy: 0.528 eV per atom

Record 3
First-principles (PBE) data for a relaxed structure of NaPu3O9, as listed in Alexandria.

Geometry as POSCAR:
```
NaPu3O9
1.0
7.950 0.000 0.000
-3.975 6.885 0.000
0.000 0.000 4.131
Na Pu O
1 3 9
Cartesian
0.000 0.000 0.000 Na
-1.988 3.443 2.065 Pu
3.975 0.000 2.065 Pu
1.988 3.443 2.065 Pu
-1.988 3.443 0.000 O
0.000 2.817 2.065 O
-1.536 5.477 2.065 O
2.440 1.409 2.065 O
3.975 0.000 0.000 O
1.988 3.443 0.000 O
1.536 5.477 2.065 O
5.511 1.409 2.065 O
3.975 4.068 2.065 O
```

Properties
space group: P6/mmm (191)
raw formation energy: -2.450 eV per atom